(1)
VASP calculation (PBE) on Cs2TeHCl6 after structural relaxation.

Values from the calculation:
Fermi-level density of states = 0.000 states/eV/atom
raw total energy = -2.893 eV per atom
total magnetic moment = 1.0 μB per formula unit
SG = I4/mmm (139)

a = 7.696 Å, b = 7.696 Å, c = 7.696 Å
α = 120.16°, β = 120.16°, γ = 89.73°
Positions (direct):
Cs 0.250 0.750 0.500
Cs 0.750 0.250 0.500
Te 0.000 0.000 0.000
H 0.500 0.500 0.000
Cl 0.236 0.236 0.000
Cl 0.237 0.237 0.474
Cl 0.237 0.763 0.000
Cl 0.763 0.237 0.000
Cl 0.763 0.763 0.526
Cl 0.764 0.764 0.000


(2)
VASP calculation (PBE) on CsTiH2Cl8 after structural relaxation.

Values from the calculation:
raw total energy = -3.631 eV per atom
total magnetic moment = 0.9 μB per formula unit
SG = P-1 (2)

a = 6.379 Å, b = 6.836 Å, c = 9.683 Å
α = 84.55°, β = 71.84°, γ = 64.91°
Positions (direct):
Cs 0.000 0.000 0.000
Ti 0.000 0.000 0.500
H 0.488 0.695 0.154
H 0.512 0.305 0.846
Cl 0.147 0.740 0.657
Cl 0.172 0.728 0.314
Cl 0.337 0.332 0.971
Cl 0.353 0.077 0.418
Cl 0.647 0.923 0.582
Cl 0.663 0.668 0.029
Cl 0.828 0.272 0.686
Cl 0.853 0.260 0.343


(3)
VASP calculation (PBE) on Cs2TiHCl6 after structural relaxation.

Values from the calculation:
Fermi-level density of states = 0.000 states/eV/atom
raw total energy = -3.835 eV per atom
total magnetic moment = 1.0 μB per formula unit
SG = Fm-3m (225)

a = 7.538 Å, b = 7.538 Å, c = 7.538 Å
α = 60.00°, β = 60.00°, γ = 60.00°
Positions (direct):
Cs 0.250 0.250 0.250
Cs 0.750 0.750 0.750
Ti 0.000 0.000 0.000
H 0.500 0.500 0.500
Cl 0.222 0.222 0.778
Cl 0.222 0.778 0.222
Cl 0.222 0.778 0.778
Cl 0.778 0.222 0.222
Cl 0.778 0.222 0.778
Cl 0.778 0.778 0.222


(4)
VASP calculation (PBE) on CsH2WCl8 after structural relaxation.

Values from the calculation:
Fermi-level density of states = 0.599 states/eV/atom
raw total energy = -3.892 eV per atom
total magnetic moment = 1.0 μB per formula unit
SG = P-1 (2)

a = 6.700 Å, b = 6.722 Å, c = 9.551 Å
α = 74.76°, β = 74.34°, γ = 73.88°
Positions (direct):
Cs 0.000 0.000 0.000
H 0.462 0.725 0.262
H 0.538 0.275 0.738
W 0.000 0.000 0.500
Cl 0.084 0.222 0.616
Cl 0.110 0.214 0.268
Cl 0.347 0.789 0.485
Cl 0.467 0.299 0.876
Cl 0.533 0.701 0.124
Cl 0.653 0.211 0.515
Cl 0.890 0.786 0.732
Cl 0.916 0.778 0.384